Dy2HgPb3 | GGA-PBE | optimized geometry

abc: 4.9669 9.3553 9.3553
angles: 122.38 90.00 90.00
Closest atoms and distances in Å follow each position.
Atoms (fractional coordinates):
Pb  0.4929  0.1774  0.6082  2 Pb 3.15, 3 Dy 3.20-3.26
Pb  0.9929  0.3918  0.8226  2 Pb 3.15, 3 Dy 3.20-3.26
Pb  0.9929  0.8226  0.3918  2 Pb 3.15, 3 Dy 3.20-3.26
Pb  0.4929  0.6082  0.1774  2 Pb 3.15, 3 Dy 3.20-3.26
Pb  0.4930  0.0976  0.0976  1 Hg 2.96, 2 Pb 3.04
Pb  0.9930  0.9024  0.9024  1 Hg 2.96, 2 Pb 3.04
Hg  0.4932  0.4258  0.4258  2 Hg 2.82, 1 Pb 2.96
Hg  0.9932  0.5742  0.5742  2 Hg 2.82, 1 Pb 2.96
Dy  0.9930  0.1536  0.3716  6 Pb 3.20-3.56, 3 Hg 3.33-3.40, 1 Dy 3.57
Dy  0.4930  0.8464  0.6284  6 Pb 3.20-3.56, 3 Hg 3.33-3.40, 1 Dy 3.57
Dy  0.9930  0.3716  0.1536  6 Pb 3.20-3.56, 3 Hg 3.33-3.40, 1 Dy 3.57
Dy  0.4930  0.6284  0.8464  6 Pb 3.20-3.56, 3 Hg 3.33-3.40, 1 Dy 3.57

Results
- Offset from the most stable computed form: 0.252 eV per atom
- VASP energy: -3.586 eV/atom
- SG: Cmcm


SrLiIr2 | GGA-PBE | optimized geometry

abc: 4.7824 4.7824 5.7736
angles: 82.24 82.24 34.88
Closest atoms and distances in Å follow each position.
Atoms (fractional coordinates):
Ir  0.5093  0.5093  0.4321  4 Ir 2.57-2.87, 3 Li 2.71-2.72
Ir  0.9907  0.9907  0.0679  4 Ir 2.57-2.87, 3 Li 2.71-2.72
Sr  0.7500  0.7500  0.7500  2 Sr 2.87, 6 Ir 3.06-3.13
Li  0.2500  0.2500  0.2500  6 Ir 2.71-2.72, 2 Li 2.87

Results
- Offset from the most stable computed form: 0.035 eV per atom
- VASP energy: -5.216 eV/atom
- SG: C2/m